A plane-wave DFT calculation with PBE was carried out for a relaxed SiAg crystal.

Cell lengths 2.8347, 5.4461, 4.5190 Å; angles 90.00, 90.00, 90.00 degrees
Last column: nearest neighbours and their distance in Å.
Fractional coordinates of all 4 atoms:
Ag (0.0000, 0.0000, 0.0837)  4 Si 2.67, 4 Ag 2.82-2.83
Si (0.5000, 0.0000, 0.5834)  4 Ag 2.67, 4 Si 2.83
Ag (0.0000, 0.5000, 0.2496)  4 Si 2.67, 4 Ag 2.82-2.83
Si (0.5000, 0.5000, 0.7499)  4 Ag 2.67, 4 Si 2.83

Properties
space group = Pmma (51)
N(E_F) = 0.256 states/eV/atom
size of the total moment = 0.0000 μB per atom
ΔE to the lowest computed polymorph = 0.146 eV/atom
formation energy from raw total energies = 35.5 kJ/mol of atoms